An optimized crystal structure of CePmErTh. Source: Alexandria via LeMat-Bulk, functional PBE-GGA.

Fermi-level density of states = 1.9406 states/eV per atom
calculated density = 9.05 Mg/m³
crystal system = trigonal
energy relative to the lowest polymorph listed for this composition = 0.00 eV per formula unit
formation energy = 0.0377 eV per atom
raw total energy = -0.2069 Ha/atom

Cell and atoms, written as CIF:
```
data_CePmErTh
_chemical_formula_sum 'Ce3 Pm3 Er3 Th3'
_cell_length_a 3.5554
_cell_length_b 3.5554
_cell_length_c 34.3991
_cell_angle_alpha 90.00
_cell_angle_beta 90.00
_cell_angle_gamma 120.00
_space_group_name_H-M_alt 'R 3 m'
_space_group_IT_number 160
_space_group_name_Hall 'R 3 -2"'
loop_
_atom_site_label
_atom_site_type_symbol
_atom_site_fract_x
_atom_site_fract_y
_atom_site_fract_z
Ce1 Ce 0.0000 0.0000 0.0000
Pm1 Pm 0.0000 0.0000 0.1679
Er1 Er 0.0000 0.0000 0.4152
Th1 Th 0.0000 0.0000 0.5862
```

---

An optimized crystal structure of CePmErTl. Source: Alexandria via LeMat-Bulk, functional PBE-GGA.

Fermi-level density of states = 1.6870 states/eV per atom
calculated density = 9.57 Mg/m³
crystal system = cubic
formation energy = 0.0171 eV per atom
raw total energy = -0.1612 Ha/atom

Cell and atoms, written as CIF:
```
data_CePmErTl
_chemical_formula_sum 'Ce4 Pm4 Er4 Tl4'
_cell_length_a 7.695
_cell_length_b 7.695
_cell_length_c 7.695
_cell_angle_alpha 90.00
_cell_angle_beta 90.00
_cell_angle_gamma 90.00
_space_group_name_H-M_alt 'F -4 3 m'
_space_group_IT_number 216
_space_group_name_Hall 'F -4 2 3'
loop_
_atom_site_label
_atom_site_type_symbol
_atom_site_fract_x
_atom_site_fract_y
_atom_site_fract_z
Ce1 Ce 0.000 0.000 0.000
Pm1 Pm 0.250 0.250 0.750
Er1 Er 0.250 0.250 0.250
Tl1 Tl 0.000 0.000 0.500
```

---

Number 2 is which compound?
CePmErTl

---

Which of these has the highest formation energy?
CePmErTh

---

The lowest raw total energy belongs to which entry?
CePmErTh

---

Among the records above, which one has the highest formation energy?
CePmErTh